Model i:
# Ca2InSn2 (GGA-PBE, relaxed)
data_Ca2InSn2
_symmetry_space_group_name_H-M 'P 4/m n c'
_symmetry_Int_Tables_number 128
_symmetry_space_group_name_Hall '-P 4 2n'
_cell_length_a 7.827
_cell_length_b 7.827
_cell_length_c 9.562
_cell_angle_alpha 90.00
_cell_angle_beta 90.00
_cell_angle_gamma 90.00
loop_
_atom_site_label
_atom_site_fract_x
_atom_site_fract_y
_atom_site_fract_z
_atom_site_occupancy
Ca1 0.168 0.332 0.000 1
In1 0.000 0.000 0.197 1
Sn1 0.134 0.634 0.250 1
# **Crystal system**: tetragonal
# **V**: 585.75 Å³/cell
# **Density of states at the Fermi level**: 1.37 states/eV/f.u.

=====

Model ii:
# Ca2InSn2 (GGA-PBE, relaxed)
data_Ca2InSn2
_symmetry_space_group_name_H-M 'P 4/m b m'
_symmetry_Int_Tables_number 127
_symmetry_space_group_name_Hall '-P 4 2ab'
_cell_length_a 9.478
_cell_length_b 9.478
_cell_length_c 3.376
_cell_angle_alpha 90.00
_cell_angle_beta 90.00
_cell_angle_gamma 90.00
loop_
_atom_site_label
_atom_site_fract_x
_atom_site_fract_y
_atom_site_fract_z
_atom_site_occupancy
Ca1 0.126 0.374 0.000 1
In1 0.000 0.000 0.000 1
Sn1 0.175 0.675 0.500 1
# **Crystal system**: tetragonal
# **V**: 303.31 Å³/cell
# **Density of states at the Fermi level**: 2.19 states/eV/f.u.

=====

Model iii:
# Ca2InSn2 (GGA-PBE, relaxed)
data_Ca2InSn2
_symmetry_space_group_name_H-M 'P 4/m b m'
_symmetry_Int_Tables_number 127
_symmetry_space_group_name_Hall '-P 4 2ab'
_cell_length_a 7.820
_cell_length_b 7.820
_cell_length_c 4.770
_cell_angle_alpha 90.00
_cell_angle_beta 90.00
_cell_angle_gamma 90.00
loop_
_atom_site_label
_atom_site_fract_x
_atom_site_fract_y
_atom_site_fract_z
_atom_site_occupancy
Ca1 0.170 0.330 0.000 1
In1 0.000 0.000 0.500 1
Sn1 0.133 0.633 0.500 1
# **Crystal system**: tetragonal
# **V**: 291.68 Å³/cell
# **Density of states at the Fermi level**: 2.51 states/eV/f.u.

=====

Stability check: which of them is least stable? model ii.

=====

Model i:
# Ca4In2Sn (GGA-PBE, relaxed)
data_Ca4In2Sn
_symmetry_space_group_name_H-M 'R -3 m'
_symmetry_Int_Tables_number 166
_symmetry_space_group_name_Hall '-R 3 2"'
_cell_length_a 5.4277
_cell_length_b 5.4277
_cell_length_c 26.4740
_cell_angle_alpha 90.00
_cell_angle_beta 90.00
_cell_angle_gamma 120.00
loop_
_atom_site_label
_atom_site_fract_x
_atom_site_fract_y
_atom_site_fract_z
_atom_site_occupancy
Ca1 0.0000 0.0000 0.1230 1
Ca2 0.0000 0.0000 0.3744 1
In1 0.0000 0.0000 0.2497 1
Sn1 0.0000 0.0000 0.5000 1
# **Crystal system**: trigonal
# **V**: 675.43 Å³/cell
# **Density of states at the Fermi level**: 4.19 states/eV/f.u.

=====

Model ii:
# Ca4In2Sn (GGA-PBE, relaxed)
data_Ca4In2Sn
_symmetry_space_group_name_H-M 'I 4/m m m'
_symmetry_Int_Tables_number 139
_symmetry_space_group_name_Hall '-I 4 2'
_cell_length_a 5.965
_cell_length_b 5.965
_cell_length_c 15.435
_cell_angle_alpha 90.00
_cell_angle_beta 90.00
_cell_angle_gamma 90.00
loop_
_atom_site_label
_atom_site_fract_x
_atom_site_fract_y
_atom_site_fract_z
_atom_site_occupancy
Ca1 0.000 0.000 0.196 1
Ca2 0.000 0.500 0.000 1
In1 0.000 0.000 0.399 1
Sn1 0.000 0.000 0.000 1
# **Crystal system**: tetragonal
# **V**: 549.24 Å³/cell
# **Density of states at the Fermi level**: 7.31 states/eV/f.u.

=====

Stability check: which of them is least stable? model ii.